The following is a PBE-GGA calculation of a geometry-optimized RbPaGe structure, from OQMD.

The structure in CIF format:
```
data_RbPaGe
_chemical_formula_sum 'Rb1 Pa1 Ge1'
_cell_length_a 5.2211
_cell_length_b 5.2211
_cell_length_c 5.2211
_cell_angle_alpha 60.00
_cell_angle_beta 60.00
_cell_angle_gamma 60.00
_symmetry_space_group_name_H-M 'P 1'
_symmetry_Int_Tables_number 1
loop_
_symmetry_equiv_pos_as_xyz
'x,y,z'
loop_
_atom_site_label
_atom_site_fract_x
_atom_site_fract_y
_atom_site_fract_z
Rb1 0.0000 0.0000 0.0000
Pa1 0.5000 0.5000 0.5000
Ge1 0.7500 0.7500 0.7500
```

Output
Energy above the lowest structure with this stoichiometry, meV/atom: 0
M_tot, μB/f.u.: 2.000
Density, g/cm³: 6.4